No. 1
Crystalline KGa2SnPb at its relaxed geometry. Source: the Alexandria database, functional GGA-PBE.

abc: 4.7782 5.3565 6.7266
angles: 113.46 110.80 90.00
Sites, in units of the cell vectors:
Ga: 0.0766 0.0766 0.1531
Ga: 0.6960 0.1960 0.3920
Sn: 0.8343 0.8343 0.6685
Pb: 0.1727 0.6727 0.3454
K: 0.4326 0.4326 0.8652

Properties
- energy of formation from the pure elements (eV/atom) = -0.0986
- symmetry = Imm2, No. 44

=====

No. 2
Crystalline KGa2TcPb at its relaxed geometry. Source: the Alexandria database, functional GGA-PBE.

abc: 4.9878 4.9878 5.2804
angles: 90.00 90.00 90.00
Sites, in units of the cell vectors:
Ga: 0.0000 0.5000 0.0000
Ga: 0.5000 0.0000 0.0000
Tc: 0.0000 0.0000 0.0000
K: 0.5000 0.5000 0.5000
Pb: 0.0000 0.0000 0.5000

Properties
- energy of formation from the pure elements (eV/atom) = -0.0509
- symmetry = P4/mmm, No. 123

=====

No. 3
Crystalline K2GaTe4Pb at its relaxed geometry. Source: the Alexandria database, functional GGA-PBE.

abc: 7.4202 7.2095 7.2095
angles: 74.64 59.03 59.03
Sites, in units of the cell vectors:
Te: 0.4630 0.6462 0.0000
Te: 0.8909 0.0000 0.6462
Te: 0.1091 0.3538 0.0000
Te: 0.5370 0.0000 0.3538
Pb: 0.0000 0.0000 0.0000
K: 0.5000 0.5000 0.5000
K: 0.0000 0.5000 0.5000
Ga: 0.5000 0.0000 0.0000

Properties
- formation energy from raw total energies (eV/atom) = -0.610
- symmetry = I-42m, No. 121

=====

No. 4
Crystalline KGaTe4Pb2 at its relaxed geometry. Source: the Alexandria database, functional GGA-PBE.

abc: 9.1219 9.1219 9.0294
angles: 119.67 119.67 89.30
Sites, in units of the cell vectors:
Pb: 0.5000 0.0000 0.0000
Pb: 0.0000 0.0000 0.5000
Pb: 0.5000 0.0000 0.5000
Pb: 0.5000 0.5000 0.0000
Te: 0.7199 0.2570 0.4885
Te: 0.2430 0.7801 0.0115
Te: 0.7448 0.7551 0.5152
Te: 0.7570 0.2199 0.9885
Te: 0.2801 0.7430 0.5115
Te: 0.2551 0.2448 0.0152
Te: 0.7449 0.7552 0.9848
Te: 0.2552 0.2449 0.4848
Ga: 0.5000 0.5000 0.5000
Ga: 0.0000 0.0000 0.0000
K: 0.0000 0.5000 0.0000
K: 0.0000 0.5000 0.5000

Properties
- formation energy from raw total energies (eV/atom) = -0.342
- symmetry = Imma, No. 74

=====

No. 5
Crystalline K2Tl6GaPb at its relaxed geometry. Source: the Alexandria database, functional GGA-PBE.

abc: 7.8186 7.8186 14.6430
angles: 74.52 74.52 60.00
Sites, in units of the cell vectors:
Pb: 0.5753 0.5753 0.2742
Pb: 0.4247 0.4247 0.7258
Ga: 0.0000 0.0000 0.0000
Ga: 0.5000 0.5000 0.5000
Tl: 0.9173 0.3357 0.4113
Tl: 0.2202 0.6423 0.9174
Tl: 0.3577 0.7798 0.0826
Tl: 0.7798 0.7798 0.0826
Tl: 0.2202 0.2202 0.9174
Tl: 0.0827 0.6643 0.5887
Tl: 0.6643 0.6643 0.5887
Tl: 0.3357 0.9173 0.4113
Tl: 0.6423 0.2202 0.9174
Tl: 0.7798 0.3577 0.0826
Tl: 0.6643 0.0827 0.5887
Tl: 0.3357 0.3357 0.4113
K: 0.7222 0.7222 0.8335
K: 0.2778 0.2778 0.1665
K: 0.1030 0.1030 0.6910
K: 0.8970 0.8970 0.3090

Properties
- energy of formation from the pure elements (eV/atom) = 0.0079
- symmetry = R-3m, No. 166

=====

No. 6
Crystalline KTl2GaPb at its relaxed geometry. Source: the Alexandria database, functional GGA-PBE.

abc: 5.7237 5.7237 5.6211
angles: 90.00 90.00 90.00
Sites, in units of the cell vectors:
Tl: 0.0000 0.5000 0.0000
Tl: 0.5000 0.0000 0.0000
K: 0.5000 0.5000 0.5000
Ga: 0.0000 0.0000 0.0000
Pb: 0.0000 0.0000 0.5000

Properties
- energy of formation from the pure elements (eV/atom) = 0.0579
- symmetry = P4/mmm, No. 123

=====

No. 7
Crystalline KTlGa2Pb at its relaxed geometry. Source: the Alexandria database, functional GGA-PBE.

abc: 5.6866 5.6866 5.9879
angles: 90.00 90.00 90.00
Sites, in units of the cell vectors:
Ga: 0.5000 0.0000 0.0000
Ga: 0.0000 0.5000 0.0000
K: 0.5000 0.5000 0.5000
Tl: 0.0000 0.0000 0.0000
Pb: 0.0000 0.0000 0.5000

Properties
- energy of formation from the pure elements (eV/atom) = 0.3201
- symmetry = P4/mmm, No. 123

=====

No. 8
Crystalline KGaPd at its relaxed geometry. Source: the Alexandria database, functional GGA-PBE.

abc: 3.5446 3.5446 6.6152
angles: 105.54 105.54 90.00
Sites, in units of the cell vectors:
K: 0.0004 0.0004 0.0008
Ga: 0.2623 0.2623 0.5246
Pd: 0.7373 0.7373 0.4746

Properties
- energy of formation from the pure elements (eV/atom) = -0.2682
- symmetry = I4mm, No. 107

=====

No. 9
Crystalline KGa3Pd at its relaxed geometry. Source: the Alexandria database, functional GGA-PBE.

abc: 6.4902 9.3059 8.3613
angles: 112.43 90.00 90.00
Sites, in units of the cell vectors:
Ga: 0.9832 0.4121 0.3408
Ga: 0.0168 0.5879 0.6592
Ga: 0.4969 0.3819 0.8243
Ga: 0.8259 0.6079 0.9458
Ga: 0.9969 0.1181 0.1757
Ga: 0.4832 0.0879 0.6592
Ga: 0.6741 0.1079 0.9458
Ga: 0.0031 0.8819 0.8243
Ga: 0.1741 0.3921 0.0542
Ga: 0.5031 0.6181 0.1757
Ga: 0.5168 0.9121 0.3408
Ga: 0.3259 0.8921 0.0542
Pd: 0.2299 0.6043 0.9280
Pd: 0.7701 0.3957 0.0720
Pd: 0.2701 0.1043 0.9280
Pd: 0.7299 0.8957 0.0720
K: 0.4822 0.2849 0.3625
K: 0.9822 0.2151 0.6375
K: 0.0178 0.7849 0.3625
K: 0.5178 0.7151 0.6375

Properties
- energy of formation from the pure elements (eV/atom) = -0.2682
- symmetry = P2_1/c, No. 14

=====

No. 10
Crystalline KGaPd3 at its relaxed geometry. Source: the Alexandria database, functional GGA-PBE.

abc: 5.0011 5.0011 5.0011
angles: 90.00 90.00 90.00
Sites, in units of the cell vectors:
K: 0.0000 0.0000 0.0000
Ga: 0.5000 0.5000 0.5000
Pd: 0.0000 0.5000 0.0000
Pd: 0.0000 0.0000 0.5000
Pd: 0.5000 0.0000 0.0000

Properties
- energy of formation from the pure elements (eV/atom) = 1.2303
- symmetry = Pm-3m, No. 221

=====

No. 11
Crystalline KGaPd3 at its relaxed geometry. Source: the Alexandria database, functional GGA-PBE.

abc: 4.7995 4.7995 4.7995
angles: 90.00 90.00 90.00
Sites, in units of the cell vectors:
Pd: 0.0000 0.5000 0.0000
Pd: 0.0000 0.0000 0.5000
Pd: 0.5000 0.0000 0.0000
Ga: 0.0000 0.0000 0.0000
K: 0.5000 0.5000 0.5000

Properties
- energy of formation from the pure elements (eV/atom) = -0.0284
- symmetry = Pm-3m, No. 221

=====

No. 12
Crystalline KGaPd at its relaxed geometry. Source: the Alexandria database, functional GGA-PBE.

abc: 4.3295 4.3295 8.4224
angles: 90.00 90.00 90.00
Sites, in units of the cell vectors:
Ga: 0.0000 0.5000 0.3382
Ga: 0.5000 0.0000 0.6618
Pd: 0.0000 0.0000 0.5000
Pd: 0.5000 0.5000 0.5000
K: 0.5000 0.0000 0.1643
K: 0.0000 0.5000 0.8357

Properties
- energy of formation from the pure elements (eV/atom) = -0.3537
- symmetry = P4/nmm, No. 129

=====

Volume list, top to bottom, in A^3/atom: 29.12 26.27 35.44 33.73 36.87 36.83 38.73 25.64 23.34 25.02 22.11 26.31